(1)
The following is a SCAN calculation of Mg5Pt3 at its PBEsol-relaxed geometry, from Alexandria via LeMat-Bulk.

a = 6.9954 Å, b = 8.6782 Å, c = 4.3138 Å
α = 90.00°, β = 90.00°, γ = 90.00°
With the nearest neighbours (Å) after each atom.
Atoms (fractional coordinates):
Mg: 0.0000 0.0000 0.0000  8 Mg 2.79-2.91, 4 Pt 2.93
Mg: 0.2203 0.5000 0.5000  6 Pt 2.65-2.82, 2 Mg 2.91
Mg: 0.2500 0.2500 0.0000  6 Pt 2.78-2.79, 6 Mg 2.79-3.07
Mg: 0.2500 0.7500 0.0000  6 Pt 2.78-2.79, 6 Mg 2.79-3.07
Mg: 0.2797 0.0000 0.5000  6 Pt 2.65-2.82, 2 Mg 2.91
Mg: 0.5000 0.5000 0.0000  8 Mg 2.79-2.91, 4 Pt 2.93
Mg: 0.7203 0.0000 0.5000  6 Pt 2.65-2.82, 2 Mg 2.91
Mg: 0.7500 0.2500 0.0000  6 Pt 2.78-2.79, 6 Mg 2.79-3.07
Mg: 0.7500 0.7500 0.0000  6 Pt 2.78-2.79, 6 Mg 2.79-3.07
Mg: 0.7797 0.5000 0.5000  6 Pt 2.65-2.82, 2 Mg 2.91
Pt: 0.0000 0.2281 0.5000  10 Mg 2.78-2.93
Pt: 0.0000 0.5000 0.0000  8 Mg 2.65-2.79
Pt: 0.0000 0.7719 0.5000  10 Mg 2.78-2.93
Pt: 0.5000 0.0000 0.0000  8 Mg 2.65-2.79
Pt: 0.5000 0.2719 0.5000  10 Mg 2.78-2.93
Pt: 0.5000 0.7281 0.5000  10 Mg 2.78-2.93

Computed properties:
space group: Cmmm, No. 65
ΔE to the lowest computed polymorph: 4.4 kJ/mol of atoms

***

(2)
The following is a SCAN calculation of YSc4Cd at its PBEsol-relaxed geometry, from Alexandria via LeMat-Bulk.

a = 5.9237 Å, b = 5.9237 Å, c = 5.9237 Å
α = 60.00°, β = 60.00°, γ = 60.00°
With the nearest neighbours (Å) after each atom.
Atoms (fractional coordinates):
Y: 0.0000 0.0000 0.0000  12 Sc 3.47, 4 Cd 3.63
Sc: 0.1232 0.6256 0.6256  6 Sc 2.95-2.98
Sc: 0.6256 0.1232 0.6256  6 Sc 2.95-2.98
Sc: 0.6256 0.6256 0.1232  6 Sc 2.95-2.98
Sc: 0.6256 0.6256 0.6256  6 Sc 2.95-2.98
Cd: 0.2500 0.2500 0.2500  12 Sc 3.47, 4 Y 3.63

Computed properties:
DFT total energy: -114.322 eV for the cell shown
space group: F-43m, No. 216

***

(3)
The following is a SCAN calculation of Cd2AgHg at its PBEsol-relaxed geometry, from Alexandria via LeMat-Bulk.

a = 4.3937 Å, b = 4.3937 Å, c = 8.0739 Å
α = 90.00°, β = 90.00°, γ = 90.00°
With the nearest neighbours (Å) after each atom.
Atoms (fractional coordinates):
Cd: 0.0000 0.5000 0.2500  4 Hg 2.98, 4 Ag 2.98, 4 Cd 3.11
Cd: 0.0000 0.5000 0.7500  4 Hg 2.98, 4 Ag 2.98, 4 Cd 3.11
Cd: 0.5000 0.0000 0.2500  4 Hg 2.98, 4 Ag 2.98, 4 Cd 3.11
Cd: 0.5000 0.0000 0.7500  4 Hg 2.98, 4 Ag 2.98, 4 Cd 3.11
Ag: 0.0000 0.0000 0.0000  8 Cd 2.98, 4 Hg 3.11
Ag: 0.5000 0.5000 0.5000  8 Cd 2.98, 4 Hg 3.11
Hg: 0.0000 0.0000 0.5000  8 Cd 2.98, 4 Ag 3.11
Hg: 0.5000 0.5000 0.0000  8 Cd 2.98, 4 Ag 3.11

Computed properties:
DFT total energy: -320.711 eV for the cell shown
space group: I4/mmm, No. 139

***

(4)
The following is a SCAN calculation of CsKPt6S6O28 at its PBEsol-relaxed geometry, from Alexandria via LeMat-Bulk.

a = 11.6854 Å, b = 11.6854 Å, c = 11.6854 Å
α = 62.80°, β = 62.80°, γ = 62.80°
With the nearest neighbours (Å) after each atom.
Atoms (fractional coordinates):
Cs: 0.0898 0.0898 0.0898  6 O 3.17-3.25
Cs: 0.9102 0.9102 0.9102  6 O 3.17-3.25
K: 0.2950 0.2950 0.2950  6 O 2.78-3.01
K: 0.7050 0.7050 0.7050  6 O 2.78-3.01
Pt: 0.2302 0.4858 0.5330  5 O 1.99-2.15
Pt: 0.2554 0.6994 0.6409  5 O 1.99-2.16
Pt: 0.3006 0.3591 0.7446  5 O 1.99-2.16
Pt: 0.3591 0.7446 0.3006  5 O 1.99-2.16
Pt: 0.4670 0.7698 0.5142  5 O 1.99-2.15
Pt: 0.4858 0.5330 0.2302  5 O 1.99-2.15
Pt: 0.5142 0.4670 0.7698  5 O 1.99-2.15
Pt: 0.5330 0.2302 0.4858  5 O 1.99-2.15
Pt: 0.6409 0.2554 0.6994  5 O 1.99-2.16
Pt: 0.6994 0.6409 0.2554  5 O 1.99-2.16
Pt: 0.7446 0.3006 0.3591  5 O 1.99-2.16
Pt: 0.7698 0.5142 0.4670  5 O 1.99-2.15
S: 0.0159 0.5643 0.7846  4 O 1.43-1.52
S: 0.1874 0.6581 0.2381  4 O 1.43-1.53
S: 0.2154 0.9841 0.4357  4 O 1.43-1.52
S: 0.2381 0.1874 0.6581  4 O 1.43-1.53
S: 0.3419 0.7619 0.8126  4 O 1.43-1.53
S: 0.4357 0.2154 0.9841  4 O 1.43-1.52
S: 0.5643 0.7846 0.0159  4 O 1.43-1.52
S: 0.6581 0.2381 0.1874  4 O 1.43-1.53
S: 0.7619 0.8126 0.3419  4 O 1.43-1.53
S: 0.7846 0.0159 0.5643  4 O 1.43-1.52
S: 0.8126 0.3419 0.7619  4 O 1.43-1.53
S: 0.9841 0.4357 0.2154  4 O 1.43-1.52
O: 0.0394 0.5603 0.6471  1 S 1.52
O: 0.0575 0.6770 0.7651  1 S 1.49
O: 0.1010 0.7051 0.1599  1 S 1.43
O: 0.1046 0.4305 0.8549  1 S 1.52
O: 0.1243 0.4180 0.1381  1 S 1.43
O: 0.1342 0.5736 0.3797  1 S 1.49
O: 0.1381 0.1243 0.4180  1 S 1.43
O: 0.1451 0.8954 0.5695  1 S 1.52
O: 0.1599 0.1010 0.7051  1 S 1.43
O: 0.1733 0.3281 0.5716  1 S 1.53
O: 0.2049 0.7780 0.2416  1 S 1.53
O: 0.2220 0.7584 0.7951  1 S 1.53
O: 0.2349 0.9425 0.3230  1 S 1.49
O: 0.2416 0.2049 0.7780  1 S 1.53
O: 0.2621 0.6565 0.4908  3 Pt 1.99
O: 0.2949 0.8401 0.8990  1 S 1.43
O: 0.3230 0.2349 0.9425  1 S 1.49
O: 0.3281 0.5716 0.1733  1 S 1.53
O: 0.3435 0.5092 0.7379  3 Pt 1.99
O: 0.3529 0.9606 0.4397  1 S 1.52
O: 0.3797 0.1342 0.5736  1 S 1.49
O: 0.4072 0.4072 0.4072  3 Pt 2.00
O: 0.4180 0.1381 0.1243  1 S 1.43
O: 0.4264 0.6203 0.8658  1 S 1.49
O: 0.4284 0.8267 0.6719  1 S 1.53
O: 0.4305 0.8549 0.1046  1 S 1.52
O: 0.4397 0.3529 0.9606  1 S 1.52
O: 0.4908 0.2621 0.6565  3 Pt 1.99
O: 0.5092 0.7379 0.3435  3 Pt 1.99
O: 0.5603 0.6471 0.0394  1 S 1.52
O: 0.5695 0.1451 0.8954  1 S 1.52
O: 0.5716 0.1733 0.3281  1 S 1.53
O: 0.5736 0.3797 0.1342  1 S 1.49
O: 0.5820 0.8619 0.8757  1 S 1.43
O: 0.5928 0.5928 0.5928  3 Pt 2.00
O: 0.6203 0.8658 0.4264  1 S 1.49
O: 0.6471 0.0394 0.5603  1 S 1.52
O: 0.6565 0.4908 0.2621  3 Pt 1.99
O: 0.6719 0.4284 0.8267  1 S 1.53
O: 0.6770 0.7651 0.0575  1 S 1.49
O: 0.7051 0.1599 0.1010  1 S 1.43
O: 0.7379 0.3435 0.5092  3 Pt 1.99
O: 0.7584 0.7951 0.2220  1 S 1.53
O: 0.7651 0.0575 0.6770  1 S 1.49
O: 0.7780 0.2416 0.2049  1 S 1.53
O: 0.7951 0.2220 0.7584  1 S 1.53
O: 0.8267 0.6719 0.4284  1 S 1.53
O: 0.8401 0.8990 0.2949  1 S 1.43
O: 0.8549 0.1046 0.4305  1 S 1.52
O: 0.8619 0.8757 0.5820  1 S 1.43
O: 0.8658 0.4264 0.6203  1 S 1.49
O: 0.8757 0.5820 0.8619  1 S 1.43
O: 0.8954 0.5695 0.1451  1 S 1.52
O: 0.8990 0.2949 0.8401  1 S 1.43
O: 0.9425 0.3230 0.2349  1 S 1.49
O: 0.9606 0.4397 0.3529  1 S 1.52

Computed properties:
space group: R-3, No. 148
ΔE_f (raw): -1.308 eV per atom

***

(5)
The following is a SCAN calculation of LiCuNF2 at its PBEsol-relaxed geometry, from Alexandria via LeMat-Bulk.

a = 3.4909 Å, b = 3.4909 Å, c = 3.9637 Å
α = 90.00°, β = 90.00°, γ = 90.00°
With the nearest neighbours (Å) after each atom.
Atoms (fractional coordinates):
Li: 0.0000 0.0000 0.0000  4 F 1.75
Cu: 0.5000 0.5000 0.5000  4 N 2.47, 8 F 2.64
N: 0.0000 0.0000 0.5000  2 Li 1.98
F: 0.0000 0.5000 0.0000  2 Li 1.75
F: 0.5000 0.0000 0.0000  2 Li 1.75

Computed properties:
space group: P4/mmm, No. 123
ΔE_f (raw): -0.476 eV per atom

***

(6)
The following is a SCAN calculation of Cs3InBr6 at its PBEsol-relaxed geometry, from Alexandria via LeMat-Bulk.

a = 8.4291 Å, b = 8.4291 Å, c = 8.4291 Å
α = 60.00°, β = 60.00°, γ = 60.00°
With the nearest neighbours (Å) after each atom.
Atoms (fractional coordinates):
Cs: 0.0000 0.0000 0.0000  6 Br 3.30
Cs: 0.2500 0.2500 0.2500  12 Br 4.23
Cs: 0.7500 0.7500 0.7500  12 Br 4.23
In: 0.5000 0.5000 0.5000  6 Br 2.66
Br: 0.2765 0.2765 0.7235  1 In 2.66
Br: 0.2765 0.7235 0.2765  1 In 2.66
Br: 0.2765 0.7235 0.7235  1 In 2.66
Br: 0.7235 0.2765 0.2765  1 In 2.66
Br: 0.7235 0.2765 0.7235  1 In 2.66
Br: 0.7235 0.7235 0.2765  1 In 2.66

Computed properties:
space group: Fm-3m, No. 225
ΔE_f (raw): -1.569 eV per atom

***

(7)
The following is a SCAN calculation of Dy3TaO7 at its PBEsol-relaxed geometry, from Alexandria via LeMat-Bulk.

a = 6.3727 Å, b = 6.3727 Å, c = 7.4264 Å
α = 90.00°, β = 90.00°, γ = 69.19°
With the nearest neighbours (Å) after each atom.
Atoms (fractional coordinates):
Dy: 0.0000 0.0000 0.0000  4 O 2.32
Dy: 0.0000 0.0000 0.5000  4 O 2.32
Dy: 0.0620 0.4816 0.7500  6 O 2.19-2.37
Dy: 0.4816 0.0620 0.2500  6 O 2.19-2.37
Dy: 0.5184 0.9380 0.7500  6 O 2.19-2.37
Dy: 0.9380 0.5184 0.2500  6 O 2.19-2.37
Ta: 0.5000 0.5000 0.0000  6 O 1.95-1.98
Ta: 0.5000 0.5000 0.5000  6 O 1.95-1.98
O: 0.1099 0.1540 0.2500  4 Dy 2.19-2.32
O: 0.1540 0.1099 0.7500  4 Dy 2.19-2.32
O: 0.1761 0.5643 0.0373  1 Ta 1.98
O: 0.1761 0.5643 0.4627  1 Ta 1.98
O: 0.4163 0.5837 0.7500  2 Ta 1.95
O: 0.4357 0.8239 0.0373  1 Ta 1.98
O: 0.4357 0.8239 0.4627  1 Ta 1.98
O: 0.5643 0.1761 0.5373  1 Ta 1.98
O: 0.5643 0.1761 0.9627  1 Ta 1.98
O: 0.5837 0.4163 0.2500  2 Ta 1.95
O: 0.8239 0.4357 0.5373  1 Ta 1.98
O: 0.8239 0.4357 0.9627  1 Ta 1.98
O: 0.8460 0.8901 0.2500  4 Dy 2.19-2.32
O: 0.8901 0.8460 0.7500  4 Dy 2.19-2.32

Computed properties:
space group: Cmcm, No. 63
ΔE_f (raw): -3.706 eV per atom
ΔE to the lowest computed polymorph: 2.5 kJ/mol of atoms

***

(8)
The following is a SCAN calculation of OsAu2Br at its PBEsol-relaxed geometry, from Alexandria via LeMat-Bulk.

a = 3.9479 Å, b = 3.9479 Å, c = 4.3925 Å
α = 90.00°, β = 90.00°, γ = 90.00°
With the nearest neighbours (Å) after each atom.
Atoms (fractional coordinates):
Os: 0.0000 0.0000 0.0000  4 Br 2.79, 8 Au 2.95
Au: 0.0000 0.5000 0.5000  4 Au 2.79, 4 Br 2.95, 4 Os 2.95
Au: 0.5000 0.0000 0.5000  4 Au 2.79, 4 Br 2.95, 4 Os 2.95
Br: 0.5000 0.5000 0.0000  4 Os 2.79, 8 Au 2.95

Computed properties:
space group: P4/mmm, No. 123
ΔE_f (raw): 1.298 eV per atom
ΔE to the lowest computed polymorph: 62.1 kJ/mol of atoms

***

(9)
The following is a SCAN calculation of RbGa3 at its PBEsol-relaxed geometry, from Alexandria via LeMat-Bulk.

a = 8.6379 Å, b = 8.6379 Å, c = 8.6379 Å
α = 137.55°, β = 137.55°, γ = 61.59°
With the nearest neighbours (Å) after each atom.
Atoms (fractional coordinates):
Rb: 0.0000 0.0000 0.0000  12 Ga 3.55-3.72, 4 Rb 3.66
Rb: 0.6275 0.1275 0.5000  3 Rb 3.63-3.66, 16 Ga 3.66-4.05
Rb: 0.8725 0.3725 0.5000  3 Rb 3.63-3.66, 16 Ga 3.66-4.05
Ga: 0.2224 0.0148 0.7924  6 Ga 2.59-2.78
Ga: 0.2224 0.4301 0.2076  6 Ga 2.59-2.78
Ga: 0.3026 0.6081 0.6945  3 Ga 2.43-2.59
Ga: 0.3919 0.0864 0.6945  3 Ga 2.43-2.59
Ga: 0.3919 0.6974 0.3055  3 Ga 2.43-2.59
Ga: 0.5000 0.5000 0.0000  4 Ga 2.49
Ga: 0.5699 0.7776 0.7924  6 Ga 2.59-2.78
Ga: 0.9136 0.6081 0.3055  3 Ga 2.43-2.59
Ga: 0.9852 0.7776 0.2076  6 Ga 2.59-2.78

Computed properties:
DFT total energy: -212.153 eV for the cell shown
space group: I-4m2, No. 119

***

(10)
The following is a SCAN calculation of LaRhS2Cl at its PBEsol-relaxed geometry, from Alexandria via LeMat-Bulk.

a = 5.4326 Å, b = 5.4326 Å, c = 5.3018 Å
α = 90.00°, β = 90.00°, γ = 90.00°
With the nearest neighbours (Å) after each atom.
Atoms (fractional coordinates):
La: 0.0000 0.0000 0.0000  2 Cl 2.65, 4 S 2.72
Rh: 0.5000 0.5000 0.5000  8 S 3.80, 4 Cl 3.84
S: 0.0000 0.5000 0.0000  2 La 2.72
S: 0.5000 0.0000 0.0000  2 La 2.72
Cl: 0.0000 0.0000 0.5000  2 La 2.65

Computed properties:
space group: P4/mmm, No. 123
ΔE_f (raw): -0.225 eV per atom

***

(11)
The following is a SCAN calculation of NaSr2H2 at its PBEsol-relaxed geometry, from Alexandria via LeMat-Bulk.

a = 4.2238 Å, b = 4.2238 Å, c = 14.5777 Å
α = 90.00°, β = 90.00°, γ = 90.00°
With the nearest neighbours (Å) after each atom.
Atoms (fractional coordinates):
Na: 0.0000 0.0000 0.0000  8 Sr 3.83, 8 H 4.21, 4 Na 4.22
Na: 0.5000 0.5000 0.5000  8 Sr 3.83, 8 H 4.21, 4 Na 4.22
Sr: 0.0000 0.0000 0.3356  4 H 2.45
Sr: 0.0000 0.0000 0.6644  4 H 2.45
Sr: 0.5000 0.5000 0.1644  4 H 2.45
Sr: 0.5000 0.5000 0.8356  4 H 2.45
H: 0.0000 0.5000 0.2500  4 Sr 2.45
H: 0.0000 0.5000 0.7500  4 Sr 2.45
H: 0.5000 0.0000 0.2500  4 Sr 2.45
H: 0.5000 0.0000 0.7500  4 Sr 2.45

Computed properties:
DFT total energy: -114.943 eV for the cell shown
space group: I4/mmm, No. 139

***

(12)
The following is a SCAN calculation of ZrAg2Au at its PBEsol-relaxed geometry, from Alexandria via LeMat-Bulk.

a = 6.5696 Å, b = 6.5696 Å, c = 6.5696 Å
α = 90.00°, β = 90.00°, γ = 90.00°
With the nearest neighbours (Å) after each atom.
Atoms (fractional coordinates):
Zr: 0.0000 0.0000 0.0000  4 Ag 2.84, 4 Au 2.84
Zr: 0.0000 0.5000 0.5000  4 Ag 2.84, 4 Au 2.84
Zr: 0.5000 0.0000 0.5000  4 Ag 2.84, 4 Au 2.84
Zr: 0.5000 0.5000 0.0000  4 Ag 2.84, 4 Au 2.84
Ag: 0.0000 0.0000 0.5000  4 Ag 2.84, 4 Au 2.84
Ag: 0.0000 0.5000 0.0000  4 Ag 2.84, 4 Au 2.84
Ag: 0.2500 0.2500 0.2500  4 Ag 2.84, 4 Zr 2.84
Ag: 0.2500 0.7500 0.7500  4 Zr 2.84, 4 Ag 2.84
Ag: 0.5000 0.0000 0.0000  4 Ag 2.84, 4 Au 2.84
Ag: 0.5000 0.5000 0.5000  4 Ag 2.84, 4 Au 2.84
Ag: 0.7500 0.2500 0.7500  4 Zr 2.84, 4 Ag 2.84
Ag: 0.7500 0.7500 0.2500  4 Zr 2.84, 4 Ag 2.84
Au: 0.2500 0.2500 0.7500  4 Zr 2.84, 4 Ag 2.84
Au: 0.2500 0.7500 0.2500  4 Zr 2.84, 4 Ag 2.84
Au: 0.7500 0.2500 0.2500  4 Zr 2.84, 4 Ag 2.84
Au: 0.7500 0.7500 0.7500  4 Zr 2.84, 4 Ag 2.84

Computed properties:
space group: F-43m, No. 216
ΔE to the lowest computed polymorph: 0.1 kJ/mol of atoms